# GeRh3Au | Alexandria | GGA-PBE | relaxed
data_GeRh3Au
_chemical_formula_sum 'Ge1 Rh3 Au1'
_cell_length_a 4.5360
_cell_length_b 4.5360
_cell_length_c 4.5360
_cell_angle_alpha 90.00
_cell_angle_beta 90.00
_cell_angle_gamma 90.00
_space_group_name_H-M_alt 'P 1'
_space_group_IT_number 1
loop_
_space_group_symop_operation_xyz
'x,y,z'
loop_
_atom_site_label
_atom_site_type_symbol
_atom_site_fract_x
_atom_site_fract_y
_atom_site_fract_z
Ge1 Ge 0.0000 0.0000 0.0000
Rh1 Rh 0.0000 0.0000 0.5000
Rh2 Rh 0.0000 0.5000 0.0000
Rh3 Rh 0.5000 0.0000 0.0000
Au1 Au 0.5000 0.5000 0.5000
# Formation energy from the elements, eV/atom: 0.61
# Total moment, μB per formula unit: 1.635
# Relative energy among the computed polymorphs, meV/atom: 0.0